First-principles (GGA-PBE) data for crystalline InFeSnGe2 at its relaxed geometry, as listed in the Alexandria database.

Cell: 4.547 5.203 4.547 Å, 90.00 90.00 90.00°
Positions (direct):
Fe (0.000, 0.000, 0.000)
Ge (0.000, 0.000, 0.500)
Ge (0.500, 0.000, 0.000)
Sn (0.500, 0.500, 0.500)
In (0.000, 0.500, 0.000)

## Properties
* energy of formation from the pure elements: 0.22 eV per atom

***

First-principles (GGA-PBE) data for crystalline SrIn2FeGe at its relaxed geometry, as listed in the Alexandria database.

Cell: 5.076 5.076 4.690 Å, 90.00 90.00 90.00°
Last column: magnetic moment on the atom in μB.
Positions (direct):
Sr (0.500, 0.500, 0.500)  0.05
Ge (0.000, 0.000, 0.500)  -0.03
Fe (0.000, 0.000, 0.000)  1.56
In (0.000, 0.500, 0.000)  -0.03
In (0.500, 0.000, 0.000)  -0.03

## Properties
* energy of formation from the pure elements: -0.13 eV per atom

***

First-principles (GGA-PBE) data for crystalline Fe2Ge2Ir at its relaxed geometry, as listed in the Alexandria database.

Cell: 3.542 3.542 6.141 Å, 73.24 73.24 90.00°
Last column: magnetic moment on the atom in μB.
Positions (direct):
Ge (0.750, 0.250, 0.500)  -0.07
Ge (0.250, 0.750, 0.500)  -0.07
Ir (0.000, 0.000, 0.000)  0.34
Fe (0.402, 0.402, 0.196)  1.32
Fe (0.598, 0.598, 0.804)  1.32

## Properties
* energy of formation from the pure elements: 0.45 eV per atom
* energy above the lowest structure with this stoichiometry: 410 meV/atom

***

First-principles (GGA-PBE) data for crystalline FeGeIr at its relaxed geometry, as listed in the Alexandria database.

Cell: 2.812 4.204 4.204 Å, 120.00 90.00 90.00°
Last column: magnetic moment on the atom in μB.
Positions (direct):
Ge (0.501, 0.667, 0.333)  -0.06
Ir (0.499, 0.333, 0.667)  0.20
Fe (0.999, 0.000, 0.000)  2.76

## Properties
* energy of formation from the pure elements: -0.08 eV per atom

***

First-principles (GGA-PBE) data for crystalline FeGeIr2 at its relaxed geometry, as listed in the Alexandria database.

Cell: 5.393 5.393 6.595 Å, 65.86 65.86 90.00°
Last column: magnetic moment on the atom in μB.
Positions (direct):
Ge (0.000, 0.000, 0.000)  0.00
Ge (0.750, 0.250, 0.500)  0.00
Ir (0.599, 0.125, 0.250)  0.03
Ir (0.151, 0.625, 0.250)  0.02
Ir (0.375, 0.401, 0.750)  0.03
Ir (0.875, 0.849, 0.750)  0.03
Fe (0.500, 0.500, 0.000)  0.30
Fe (0.250, 0.750, 0.500)  0.32

## Properties
* energy of formation from the pure elements: 0.66 eV per atom

***

First-principles (GGA-PBE) data for crystalline FeGeIr2 at its relaxed geometry, as listed in the Alexandria database.

Cell: 2.881 2.881 6.803 Å, 90.00 90.00 90.00°
Last column: magnetic moment on the atom in μB.
Positions (direct):
Ge (0.500, 0.500, 0.000)  -0.01
Ir (0.000, 0.000, 0.758)  0.24
Ir (0.000, 0.000, 0.242)  0.24
Fe (0.500, 0.500, 0.500)  2.94

## Properties
* energy of formation from the pure elements: -0.04 eV per atom

***

- Among the records above, which one has the highest energy of formation from the pure elements?
  number 5

***

- Among the records above, which one has the highest energy of formation from the pure elements?
  number 5